No. 1
A geometry-optimized PrCuSnSe2S structure. Source: OQMD via LeMat-Bulk, functional GGA-PBE.

The calculated total energy is -0.17954 Ha/atom. Its crystal system is orthorhombic. For the magnetic moment, the calculation gives 0.00 μB per cell.

The structure belongs to space group Cmcm (No. 63); the cell edges are 4.051, 13.383 and 10.704 Å and the angles 90.00°, 90.00° and 90.00°. The inequivalent atoms are Pr at (0.000, 0.000, 0.000), Cu at (0.000, 0.473, 0.250), Sn at (0.000, 0.250, 0.750), Se at (0.000, 0.350, 0.076) and S at (0.000, 0.074, 0.250).

No. 2
A geometry-optimized NaPrW structure. Source: OQMD via LeMat-Bulk, functional GGA-PBE.

The calculated total energy is -0.17476 Ha/atom. The calculation puts the excess energy over the best structure of this formula in the dataset at 0 meV/atom. Its crystal system is cubic. For the magnetic moment, the calculation gives 11.75 μB per cell.

The structure belongs to space group F-43m (No. 216); the cell edges are 7.069, 7.069 and 7.069 Å and the angles 90.00°, 90.00° and 90.00°. The inequivalent atoms are Na at (0.000, 0.000, 0.000), Pr at (0.000, 0.000, 0.500) and W at (0.250, 0.250, 0.250).